[1]
LiYAg2Cl6 (GGA-PBE, relaxed); energy relative to the elements, uncorrected = -1383 kJ/mol of formula units; total magnetization = 0.000 μB per formula unit; Fermi-level density of states = 0.00 states/eV/f.u.; crystal system = trigonal; total energy = -3.949 eV per atom
1.0
-2.1753 -0.1332 6.4349
4.1813 -2.0156 4.9615
2.5543 5.0542 4.5565
Li Y Ag Cl
1 1 2 6
Direct
0.8203 0.8201 0.5393 Li
0.3228 0.3230 0.0315 Y
0.5252 0.5248 0.4246 Ag
0.0265 0.0270 0.9197 Ag
0.5886 0.2045 0.2688 Cl
0.2051 0.9378 0.2688 Cl
0.9380 0.5881 0.2693 Cl
0.4410 0.7083 0.7645 Cl
0.7081 0.0866 0.7641 Cl
0.0860 0.4415 0.7646 Cl

---

[2]
LiZnAgCl4 (GGA-PBE, relaxed); energy relative to the elements, uncorrected = -748 kJ/mol of formula units; total magnetization = 0.000 μB per formula unit; Fermi-level density of states = 0.00 states/eV/f.u.; crystal system = orthorhombic; total energy = -3.025 eV per atom
1.0
-0.6256 -5.3376 5.5849
3.7481 -6.5967 -0.5066
5.8745 -1.5211 4.5824
Li Zn Ag Cl
2 2 2 8
Direct
0.5000 0.0000 0.5000 Li
0.0000 0.0000 0.5000 Li
0.6219 0.6281 0.1281 Zn
0.3781 0.3719 0.8719 Zn
0.0000 0.0000 0.0000 Ag
0.0000 0.5000 0.5000 Ag
0.7439 0.7615 0.7506 Cl
0.2561 0.7494 0.7385 Cl
0.7439 0.2506 0.2616 Cl
0.2561 0.2384 0.2494 Cl
0.2534 0.7571 0.2571 Cl
0.7325 0.7571 0.2571 Cl
0.2675 0.2429 0.7429 Cl
0.7466 0.2429 0.7429 Cl

---

[3]
Li2ZnAgCl6 (GGA-PBE, relaxed); energy relative to the elements, uncorrected = -1038 kJ/mol of formula units; total magnetization = 0.959 μB per formula unit; Fermi-level density of states = 7.67 states/eV/f.u.; crystal system = monoclinic; total energy = -2.979 eV per atom
1.0
-1.6944 -1.9149 -6.1185
6.5734 -5.8261 -2.8450
-5.9647 -6.9781 0.9877
Li Zn Ag Cl
4 2 2 12
Direct
0.3500 0.6700 0.5055 Li
0.1500 0.4945 0.3300 Li
0.6500 0.3300 0.4945 Li
0.8500 0.5055 0.6700 Li
0.2500 0.1810 0.8190 Zn
0.7500 0.8190 0.1810 Zn
0.2500 0.8985 0.1015 Ag
0.7500 0.1015 0.8985 Ag
0.1457 0.9562 0.8056 Cl
0.3543 0.1944 0.0438 Cl
0.8543 0.0438 0.1944 Cl
0.6457 0.8056 0.9562 Cl
0.4105 0.8780 0.3501 Cl
0.0895 0.6499 0.1220 Cl
0.5895 0.1220 0.6499 Cl
0.9105 0.3501 0.8780 Cl
0.9789 0.6922 0.5408 Cl
0.5211 0.4592 0.3078 Cl
0.0211 0.3078 0.4592 Cl
0.4789 0.5408 0.6922 Cl

---

[4]
LiZn2AgCl6 (GGA-PBE, relaxed); energy relative to the elements, uncorrected = -1083 kJ/mol of formula units; total magnetization = 0.000 μB per formula unit; Fermi-level density of states = 0.00 states/eV/f.u.; crystal system = monoclinic; total energy = -2.961 eV per atom
1.0
6.7979 -0.0043 -0.0045
2.1735 8.6642 0.1850
2.1735 -0.1362 8.6651
Li Zn Ag Cl
2 4 2 12
Direct
0.2500 0.2155 0.7845 Li
0.7500 0.7845 0.2155 Li
0.2560 0.7811 0.6136 Zn
0.2440 0.3864 0.2189 Zn
0.7440 0.2189 0.3864 Zn
0.7560 0.6136 0.7811 Zn
0.2500 0.8748 0.1252 Ag
0.7500 0.1252 0.8748 Ag
0.1437 0.9676 0.8010 Cl
0.3563 0.1990 0.0324 Cl
0.8563 0.0324 0.1990 Cl
0.6437 0.8010 0.9676 Cl
0.4079 0.8689 0.3802 Cl
0.0921 0.6198 0.1311 Cl
0.5921 0.1311 0.6198 Cl
0.9079 0.3802 0.8689 Cl
0.9717 0.7026 0.5715 Cl
0.5283 0.4285 0.2974 Cl
0.0283 0.2974 0.4285 Cl
0.4717 0.5715 0.7026 Cl

---

[5]
Mg2AgCl (GGA-PBE, relaxed); energy relative to the elements, uncorrected = -129 kJ/mol of formula units; total magnetization = 0.000 μB per formula unit; Fermi-level density of states = 0.78 states/eV/f.u.; crystal system = tetragonal; E above lowest polymorph = 285 meV/atom; total energy = -2.305 eV per atom
1.0
-1.9065 -0.2042 6.1083
-3.0822 -4.6615 3.1239
4.9008 1.3201 -3.9021
Ag Cl Mg
1 1 2
Direct
0.5000 0.5000 0.0000 Ag
0.7500 0.2500 0.5000 Cl
0.0000 0.0000 0.0000 Mg
0.2500 0.7500 0.5000 Mg

---

[6]
MgAgCl2 (GGA-PBE, relaxed); energy relative to the elements, uncorrected = -408 kJ/mol of formula units; total magnetization = 0.000 μB per formula unit; Fermi-level density of states = 1.11 states/eV/f.u.; crystal system = monoclinic; E above lowest polymorph = 0 meV/atom; total energy = -3.093 eV per atom
1.0
-0.4845 -0.1020 -3.4325
-3.0590 -1.0027 -1.2902
-4.1251 9.9894 -0.7576
Ag Cl Mg
1 2 1
Direct
0.2500 0.2500 0.2500 Ag
0.0568 0.0568 0.8844 Cl
0.4432 0.4432 0.6156 Cl
0.7500 0.7500 0.7500 Mg

---

[7]
Mg2Ag3Cl8 (GGA-PBE, relaxed); energy relative to the elements, uncorrected = -1296 kJ/mol of formula units; total magnetization = 1.035 μB per formula unit; Fermi-level density of states = 6.51 states/eV/f.u.; crystal system = monoclinic; total energy = -3.073 eV per atom
1.0
6.4981 0.1056 2.1643
1.4180 6.5052 4.0789
0.2811 0.1694 7.8012
Mg Ag Cl
2 3 8
Direct
0.9947 0.2510 0.2510 Mg
0.0053 0.7490 0.7490 Mg
0.5000 0.0000 0.0000 Ag
0.0000 0.2585 0.7415 Ag
0.0000 0.7415 0.2585 Ag
0.7919 0.6344 0.6344 Cl
0.2081 0.3656 0.3656 Cl
0.7906 0.1280 0.1280 Cl
0.2094 0.8720 0.8720 Cl
0.7616 0.6165 0.1033 Cl
0.7616 0.1033 0.6165 Cl
0.2384 0.8967 0.3835 Cl
0.2384 0.3835 0.8967 Cl

---

[8]
MgAg4Cl (GGA-PBE, relaxed); energy relative to the elements, uncorrected = -3 kJ/mol of formula units; total magnetization = 0.000 μB per formula unit; Fermi-level density of states = 2.27 states/eV/f.u.; crystal system = cubic; total energy = -2.479 eV per atom
1.0
0.0000 3.9652 3.9652
3.9652 0.0000 3.9652
3.9652 3.9652 0.0000
Mg Ag Cl
1 4 1
Direct
0.0000 0.0000 0.0000 Mg
0.8758 0.3747 0.3747 Ag
0.3747 0.3747 0.8758 Ag
0.3747 0.8758 0.3747 Ag
0.3747 0.3747 0.3747 Ag
0.7500 0.7500 0.7500 Cl